(1)
Below is crystalline Ce3Nd4PuTe8 at its relaxed geometry, with properties calculated at the GGA-PBE level.

The structure in POSCAR format:
```
Ce3Nd4PuTe8
1.0
8.940 0.000 0.000
0.000 9.015 0.047
-4.470 -4.466 6.324
Nd Te Ce Pu
4 8 3 1
Direct
0.000 0.000 0.500 Nd
0.500 0.000 0.000 Nd
0.500 0.000 0.500 Nd
0.000 0.000 0.000 Nd
0.248 0.748 0.496 Te
0.752 0.252 0.504 Te
0.750 0.750 0.500 Te
0.248 0.748 0.000 Te
0.248 0.252 0.000 Te
0.250 0.250 0.500 Te
0.752 0.748 0.000 Te
0.752 0.252 0.000 Te
0.500 0.500 0.000 Ce
0.000 0.500 0.500 Ce
0.500 0.500 0.500 Ce
0.000 0.500 0.000 Pu
```

Final energy: -6.14 eV/atom
Crystal system: trigonal
Formation energy from raw total energies: -1.372 eV per atom
D(E_F): 33.121 states/eV per cell
V: 31.97 A^3/atom

***

(2)
Below is crystalline RbAlH2 at its relaxed geometry, with properties calculated at the GGA-PBE level.

The structure in POSCAR format:
```
RbAlH2
1.0
-3.017 -1.361 4.000
4.401 -3.654 1.653
0.630 5.618 1.921
Al H Rb
2 4 2
Direct
0.852 0.526 0.956 Al
0.352 0.579 0.897 Al
0.346 0.682 0.673 H
0.320 0.267 0.741 H
0.849 0.301 0.059 H
0.819 0.368 0.646 H
0.360 0.222 0.243 Rb
0.856 0.870 0.599 Rb
```

Final energy: -2.95 eV/atom
Crystal system: triclinic
Energy above the lowest structure with this stoichiometry: 0.095 eV per atom
D(E_F): 0.000 states/eV per cell
V: 20.93 A^3/atom